Entry 1:
{"formula": "LaRuO3", "functional": "PBEsol", "state": "relaxed", "lattice_angstrom": [[-0.914, 2.314, -4.705], [-1.835, -5.164, -2.183], [-7.267, 1.644, 2.220]], "species": ["O", "O", "O", "O", "O", "O", "O", "O", "O", "O", "O", "O", "Ru", "Ru", "Ru", "Ru", "La", "La", "La", "La"], "fractional_positions": [[0.314, 0.699, 0.954], [0.409, 0.972, 0.250], [0.314, 0.699, 0.546], [0.909, 0.528, 0.750], [0.186, 0.199, 0.546], [0.591, 0.028, 0.750], [0.186, 0.199, 0.954], [0.686, 0.301, 0.046], [0.091, 0.472, 0.250], [0.814, 0.801, 0.046], [0.814, 0.801, 0.454], [0.686, 0.301, 0.454], [0.500, 0.000, 0.500], [0.500, 0.000, 0.000], [0.000, 0.500, 0.000], [0.000, 0.500, 0.500], [0.524, 0.570, 0.250], [0.976, 0.070, 0.250], [0.024, 0.930, 0.750], [0.476, 0.430, 0.750]], "space_group": "No. 62", "energy_ev_per_atom": -8.445}



Entry 2:
{"formula": "YAlNi2", "functional": "PBEsol", "state": "relaxed", "lattice_angstrom": [[-3.471, -0.838, 1.211], [-1.043, -0.899, -3.610], [3.454, -3.146, 1.853]], "species": ["Y", "Al", "Ni", "Ni"], "fractional_positions": [[0.502, 0.502, 0.004], [0.255, 0.755, 0.510], [0.994, 0.994, 0.987], [0.750, 0.250, 0.499]], "formation_energy_ev_per_atom": -0.247, "space_group": "No. 44"}



Entry 3:
{"formula": "LiBe2Ir", "functional": "PBEsol", "state": "relaxed", "lattice_angstrom": [[-0.453, 2.502, 2.903], [1.483, -0.787, 3.475], [3.026, 2.008, 1.306]], "species": ["Be", "Be", "Ir", "Li"], "fractional_positions": [[0.750, 0.750, 0.750], [0.250, 0.250, 0.250], [0.000, 0.000, 0.000], [0.500, 0.500, 0.500]], "formation_energy_ev_per_atom": -0.360, "space_group": "No. 225"}



Copy entry 3 word for word.
{"formula": "LiBe2Ir", "functional": "PBEsol", "state": "relaxed", "lattice_angstrom": [[-0.453, 2.502, 2.903], [1.483, -0.787, 3.475], [3.026, 2.008, 1.306]], "species": ["Be", "Be", "Ir", "Li"], "fractional_positions": [[0.750, 0.750, 0.750], [0.250, 0.250, 0.250], [0.000, 0.000, 0.000], [0.500, 0.500, 0.500]], "formation_energy_ev_per_atom": -0.360, "space_group": "No. 225"}